# 1
ThGe2Os: optimized geometry, PBE.

Computed properties:
DOS at the Fermi energy = 2.1 states/eV/f.u.
Magnetic moment = 0.000 μB/atom
DFT formation energy = -553 meV/atom
ρ = 11.6 g/cm3

a b c (Å): 4.379 9.134 9.579
angles (deg): 118.47 103.21 90.00
Positions (direct):
Os1 0.143 0.894 0.285
Os2 0.857 0.106 0.715
Os3 0.143 0.391 0.285
Os4 0.857 0.609 0.715
Th1 0.500 0.258 0.000
Th2 0.290 0.290 0.580
Th3 0.500 0.742 0.000
Th4 0.710 0.710 0.420
Ge1 0.301 0.642 0.602
Ge2 0.922 0.922 0.843
Ge3 0.923 0.423 0.845
Ge4 0.699 0.040 0.398
Ge5 0.699 0.358 0.398
Ge6 0.078 0.078 0.157
Ge7 0.301 0.960 0.602
Ge8 0.077 0.577 0.155

***

# 2
Th2Ge3Os: optimized geometry, PBE.

Computed properties:
DOS at the Fermi energy = 3.0 states/eV/f.u.
Magnetic moment = 0.000 μB/atom
DFT formation energy = -584 meV/atom
ρ = 10.9 g/cm3
Energy above the most stable polymorph in this dataset = 0.021 eV per atom

a b c (Å): 4.035 4.482 7.328
angles (deg): 90.00 90.00 90.00
Positions (direct):
Th1 0.000 0.000 0.491
Th2 0.000 0.500 0.018
Ge1 0.500 0.500 0.664
Ge2 0.500 0.000 0.829
Ge3 0.500 0.000 0.172
Os1 0.500 0.500 0.326

***

# 3
Th4Ge6Os7: optimized geometry, PBE.

Computed properties:
DOS at the Fermi energy = 3.4 states/eV/f.u.
Magnetic moment = 0.000 μB/atom
DFT formation energy = -510 meV/atom
ρ = 14.3 g/cm3

a b c (Å): 7.414 7.414 7.414
angles (deg): 109.47 109.47 109.47
Positions (direct):
Os1 0.250 0.750 0.500
Os2 0.500 0.750 0.250
Os3 0.750 0.500 0.250
Os4 0.750 0.250 0.500
Os5 0.000 0.000 0.000
Os6 0.500 0.250 0.750
Os7 0.250 0.500 0.750
Ge1 0.317 0.317 0.000
Ge2 0.000 0.317 0.317
Ge3 0.683 0.000 0.683
Ge4 0.317 0.000 0.317
Ge5 0.683 0.683 0.000
Ge6 0.000 0.683 0.683
Th1 0.000 0.000 0.500
Th2 0.500 0.000 0.000
Th3 0.000 0.500 0.000
Th4 0.500 0.500 0.500

***

# 4
Th4GeOs: optimized geometry, PBE.

Computed properties:
DOS at the Fermi energy = 6.1 states/eV/f.u.
Magnetic moment = 0.000 μB/atom
DFT formation energy = -406 meV/atom
ρ = 12.3 g/cm3

a b c (Å): 6.057 7.295 7.295
angles (deg): 90.00 90.00 90.00
Positions (direct):
Th1 0.500 0.346 0.826
Th2 0.000 0.174 0.654
Th3 0.500 0.826 0.654
Th4 0.000 0.826 0.346
Th5 0.000 0.346 0.174
Th6 0.500 0.654 0.174
Th7 0.500 0.174 0.346
Th8 0.000 0.654 0.826
Ge1 0.250 0.000 0.000
Ge2 0.750 0.000 0.000
Os1 0.250 0.500 0.500
Os2 0.750 0.500 0.500